1.
## TbPr8Ho2 (PBE-GGA)

Data for crystalline TbPr8Ho2 at its relaxed geometry.

a b c (Å): 8.628 8.628 5.532
angles (deg): 90.05 90.05 105.13
Fractional coordinates of all 11 atoms:
Tb (0.000, 0.000, 0.000)
Pr (0.031, 0.300, 0.500)
Pr (0.253, 0.747, 0.000)
Pr (0.300, 0.031, 0.500)
Pr (0.334, 0.334, 0.000)
Pr (0.666, 0.666, 0.000)
Pr (0.700, 0.969, 0.500)
Pr (0.747, 0.253, 0.000)
Pr (0.969, 0.700, 0.500)
Ho (0.381, 0.619, 0.500)
Ho (0.619, 0.381, 0.500)

Summary:
- Crystal system: monoclinic
- Magnetization: 0.0 μB per formula unit
- E_form: 1.69 eV/f.u.
- Calculated density: 6.75 g cm⁻³
- Symmetry: C2/m, No. 12

2.
## SrY2CrN4 (PBE-GGA)

Data for crystalline SrY2CrN4 at its relaxed geometry.

a b c (Å): 6.199 6.199 11.736
angles (deg): 90.00 90.00 147.79
Fractional coordinates of all 16 atoms:
Sr (0.091, 0.909, 0.750)
Sr (0.909, 0.091, 0.250)
Y (0.370, 0.630, 0.542)
Y (0.370, 0.630, 0.958)
Y (0.630, 0.370, 0.042)
Y (0.630, 0.370, 0.458)
Cr (0.176, 0.824, 0.250)
Cr (0.824, 0.176, 0.750)
N (0.000, 0.000, 0.000)
N (0.000, 0.000, 0.500)
N (0.260, 0.740, 0.123)
N (0.260, 0.740, 0.377)
N (0.403, 0.597, 0.750)
N (0.597, 0.403, 0.250)
N (0.740, 0.260, 0.623)
N (0.740, 0.260, 0.877)

Summary:
- Crystal system: orthorhombic
- Magnetization: 1.9 μB per formula unit
- Calculated density: 5.16 g cm⁻³
- Symmetry: Cmcm, No. 63
- ΔE_f (raw): -1181 meV per atom

3.
## In2Ga2Br7 (PBE-GGA)

Data for crystalline In2Ga2Br7 at its relaxed geometry.

a b c (Å): 8.252 8.252 6.878
angles (deg): 96.69 96.69 99.84
Fractional coordinates of all 11 atoms:
In (0.204, 0.796, 0.000)
In (0.796, 0.204, 0.000)
Ga (0.273, 0.273, 0.574)
Ga (0.727, 0.727, 0.426)
Br (0.079, 0.395, 0.759)
Br (0.121, 0.121, 0.259)
Br (0.395, 0.079, 0.759)
Br (0.500, 0.500, 0.500)
Br (0.605, 0.921, 0.241)
Br (0.879, 0.879, 0.741)
Br (0.921, 0.605, 0.241)

Summary:
- Crystal system: monoclinic
- Magnetization: 0.0 μB per formula unit
- Calculated density: 3.40 g cm⁻³
- Symmetry: C2/m, No. 12
- ΔE_f (raw): -684 meV per atom

4.
## RbCdIrCl6 (PBE-GGA)

Data for crystalline RbCdIrCl6 at its relaxed geometry.

a b c (Å): 6.652 6.652 7.258
angles (deg): 90.00 90.00 120.00
Fractional coordinates of all 9 atoms:
Rb (0.000, 0.000, 0.000)
Cd (0.667, 0.333, 0.500)
Ir (0.333, 0.667, 0.500)
Cl (0.036, 0.384, 0.312)
Cl (0.036, 0.652, 0.688)
Cl (0.348, 0.384, 0.688)
Cl (0.348, 0.964, 0.312)
Cl (0.616, 0.652, 0.312)
Cl (0.616, 0.964, 0.688)

Summary:
- Crystal system: trigonal
- Magnetization: 0.0 μB per formula unit
- Calculated density: 3.60 g cm⁻³
- Symmetry: P312, No. 149
- ΔE_f (raw): -1034 meV per atom

5.
## GeI2Br (PBE-GGA)

Data for crystalline GeI2Br at its relaxed geometry.

a b c (Å): 7.301 7.301 7.301
angles (deg): 109.62 109.62 109.18
Fractional coordinates of all 8 atoms:
Ge (0.000, 0.000, 0.000)
Ge (0.750, 0.250, 0.500)
I (0.066, 0.625, 0.941)
I (0.375, 0.316, 0.441)
I (0.684, 0.125, 0.059)
I (0.875, 0.934, 0.559)
Br (0.250, 0.750, 0.500)
Br (0.500, 0.500, 0.000)

Summary:
- Crystal system: tetragonal
- Magnetization: 0.0 μB per formula unit
- Calculated density: 4.50 g cm⁻³
- Symmetry: I-42d, No. 122
- ΔE_f (raw): 47 meV per atom

6.
## LiLa2As (PBE-GGA)

Data for crystalline LiLa2As at its relaxed geometry.

a b c (Å): 8.907 8.907 8.907
angles (deg): 27.49 27.49 27.49
Fractional coordinates of all 4 atoms:
Li (0.000, 0.000, 0.000)
La (0.234, 0.234, 0.234)
La (0.766, 0.766, 0.766)
As (0.500, 0.500, 0.500)

Summary:
- Crystal system: trigonal
- Magnetization: 1.5 μB per formula unit
- E_form: -2.44 eV/f.u.
- Calculated density: 4.50 g cm⁻³
- Symmetry: R-3m, No. 166

7.
## VMo3Os (PBE-GGA)

Data for crystalline VMo3Os at its relaxed geometry.

a b c (Å): 4.418 4.418 4.418
angles (deg): 90.00 90.00 90.00
Fractional coordinates of all 5 atoms:
V (0.000, 0.000, 0.000)
Mo (0.000, 0.000, 0.500)
Mo (0.000, 0.500, 0.000)
Mo (0.500, 0.000, 0.000)
Os (0.500, 0.500, 0.500)

Summary:
- Crystal system: cubic
- Magnetization: 0.0 μB per formula unit
- E_form: 7.45 eV/f.u.
- Calculated density: 10.19 g cm⁻³
- Symmetry: Pm-3m, No. 221

8.
## SrLa3 (PBE-GGA)

Data for crystalline SrLa3 at its relaxed geometry.

a b c (Å): 6.622 6.622 6.768
angles (deg): 99.36 99.36 33.23
Fractional coordinates of all 4 atoms:
Sr (0.000, 0.000, 0.000)
La (0.241, 0.241, 0.727)
La (0.500, 0.500, 0.500)
La (0.759, 0.759, 0.273)

Summary:
- Crystal system: monoclinic
- Magnetization: 0.0 μB per formula unit
- E_form: 0.37 eV/f.u.
- Calculated density: 5.23 g cm⁻³
- Symmetry: C2/m, No. 12

9.
## BaPrCd2Au4 (PBE-GGA)

Data for crystalline BaPrCd2Au4 at its relaxed geometry.

a b c (Å): 10.299 10.299 10.299
angles (deg): 27.50 27.50 27.50
Fractional coordinates of all 8 atoms:
Ba (0.000, 0.000, 0.000)
Pr (0.500, 0.500, 0.500)
Cd (0.240, 0.240, 0.240)
Cd (0.760, 0.760, 0.760)
Au (0.118, 0.118, 0.118)
Au (0.398, 0.398, 0.398)
Au (0.602, 0.602, 0.602)
Au (0.882, 0.882, 0.882)

Summary:
- Crystal system: trigonal
- Magnetization: 0.0 μB per formula unit
- E_form: -4.59 eV/f.u.
- Calculated density: 10.43 g cm⁻³
- Symmetry: R-3m, No. 166

10.
## ScAs (PBE-GGA)

Data for crystalline ScAs at its relaxed geometry.

a b c (Å): 3.909 7.112 7.112
angles (deg): 119.48 90.00 90.00
Fractional coordinates of all 6 atoms:
Sc (0.000, 0.000, 0.000)
Sc (0.500, 0.400, 0.970)
Sc (0.500, 0.970, 0.400)
As (0.000, 0.128, 0.704)
As (0.000, 0.704, 0.128)
As (0.500, 0.243, 0.243)

Summary:
- Crystal system: orthorhombic
- Magnetization: 0.0 μB per formula unit
- E_form: -1.91 eV/f.u.
- Calculated density: 3.47 g cm⁻³
- Symmetry: Amm2, No. 38

11.
## CsLaPCl2 (PBE-GGA)

Data for crystalline CsLaPCl2 at its relaxed geometry.

a b c (Å): 5.720 5.720 5.630
angles (deg): 90.00 90.00 90.00
Fractional coordinates of all 5 atoms:
Cs (0.000, 0.000, 0.000)
La (0.500, 0.500, 0.500)
P (0.500, 0.500, 0.000)
Cl (0.000, 0.500, 0.500)
Cl (0.500, 0.000, 0.500)

Summary:
- Crystal system: tetragonal
- Magnetization: 0.7 μB per formula unit
- Calculated density: 3.37 g cm⁻³
- Symmetry: P4/mmm, No. 123
- ΔE_f (raw): -1473 meV per atom

12.
## SrZn3Pt2 (PBE-GGA)

Data for crystalline SrZn3Pt2 at its relaxed geometry.

a b c (Å): 6.485 6.485 5.634
angles (deg): 90.00 90.00 80.06
Fractional coordinates of all 12 atoms:
Sr (0.163, 0.837, 0.750)
Sr (0.837, 0.163, 0.250)
Zn (0.044, 0.584, 0.250)
Zn (0.416, 0.956, 0.250)
Zn (0.445, 0.555, 0.250)
Zn (0.555, 0.445, 0.750)
Zn (0.584, 0.044, 0.750)
Zn (0.956, 0.416, 0.750)
Pt (0.283, 0.283, 0.000)
Pt (0.283, 0.283, 0.500)
Pt (0.717, 0.717, 0.000)
Pt (0.717, 0.717, 0.500)

Summary:
- Crystal system: orthorhombic
- Magnetization: 0.0 μB per formula unit
- E_form: -3.72 eV/f.u.
- Calculated density: 9.59 g cm⁻³
- Symmetry: Cmcm, No. 63

13.
## LaTb7Pr4 (PBE-GGA)

Data for crystalline LaTb7Pr4 at its relaxed geometry.

a b c (Å): 6.819 6.819 12.936
angles (deg): 114.89 114.89 52.27
Fractional coordinates of all 12 atoms:
La (0.000, 0.000, 0.000)
Tb (0.065, 0.065, 0.323)
Tb (0.210, 0.210, 0.923)
Tb (0.368, 0.368, 0.501)
Tb (0.500, 0.500, 0.000)
Tb (0.632, 0.632, 0.499)
Tb (0.790, 0.790, 0.077)
Tb (0.935, 0.935, 0.677)
Pr (0.234, 0.234, 0.674)
Pr (0.367, 0.367, 0.223)
Pr (0.633, 0.633, 0.777)
Pr (0.766, 0.766, 0.326)

Summary:
- Crystal system: monoclinic
- Magnetization: 0.0 μB per formula unit
- E_form: 2.88 eV/f.u.
- Calculated density: 7.17 g cm⁻³
- Symmetry: C2/m, No. 12

14.
## BaEr2C (PBE-GGA)

Data for crystalline BaEr2C at its relaxed geometry.

a b c (Å): 10.384 10.384 10.384
angles (deg): 19.97 19.97 19.97
Fractional coordinates of all 4 atoms:
Ba (0.000, 0.000, 0.000)
Er (0.123, 0.123, 0.123)
Er (0.877, 0.877, 0.877)
C (0.500, 0.500, 0.500)

Summary:
- Crystal system: trigonal
- Magnetization: 0.0 μB per formula unit
- E_form: -0.25 eV/f.u.
- Calculated density: 7.03 g cm⁻³
- Symmetry: R-3m, No. 166

15.
## Ta2CdCl (PBE-GGA)

Data for crystalline Ta2CdCl at its relaxed geometry.

a b c (Å): 10.765 10.765 10.765
angles (deg): 158.69 158.69 30.31
Fractional coordinates of all 8 atoms:
Ta (0.116, 0.625, 0.991)
Ta (0.375, 0.366, 0.491)
Ta (0.634, 0.125, 0.009)
Ta (0.875, 0.884, 0.509)
Cd (0.000, 0.000, 0.000)
Cd (0.750, 0.250, 0.500)
Cl (0.250, 0.750, 0.500)
Cl (0.500, 0.500, 0.000)

Summary:
- Crystal system: tetragonal
- Magnetization: 0.0 μB per formula unit
- Calculated density: 10.29 g cm⁻³
- Symmetry: I-42d, No. 122
- ΔE_f (raw): 697 meV per atom

16.
## LaNd2Co (PBE-GGA)

Data for crystalline LaNd2Co at its relaxed geometry.

a b c (Å): 9.636 9.636 9.636
angles (deg): 23.45 23.45 23.45
Fractional coordinates of all 4 atoms:
La (0.000, 0.000, 0.000)
Nd (0.224, 0.224, 0.224)
Nd (0.447, 0.447, 0.447)
Co (0.835, 0.835, 0.835)

Summary:
- Crystal system: trigonal
- Magnetization: 0.0 μB per formula unit
- E_form: 0.16 eV/f.u.
- Calculated density: 6.49 g cm⁻³
- Symmetry: R3m, No. 160

17.
## CuBiSe (PBE-GGA)

Data for crystalline CuBiSe at its relaxed geometry.

a b c (Å): 3.888 3.888 5.088
angles (deg): 90.00 90.00 120.00
Fractional coordinates of all 3 atoms:
Cu (0.000, 0.000, 0.000)
Bi (0.667, 0.333, 0.330)
Se (0.333, 0.667, 0.783)

Summary:
- Crystal system: trigonal
- Magnetization: 0.0 μB per formula unit
- Calculated density: 8.76 g cm⁻³
- Symmetry: P3m1, No. 156
- ΔE_f (raw): -74 meV per atom

18.
## AlCdIn (PBE-GGA)

Data for crystalline AlCdIn at its relaxed geometry.

a b c (Å): 3.078 5.475 8.212
angles (deg): 78.69 89.91 89.93
Fractional coordinates of all 6 atoms:
Al (0.000, 0.000, 0.000)
Al (0.500, 0.252, 0.737)
Cd (0.002, 0.771, 0.677)
Cd (0.502, 0.899, 0.317)
In (0.002, 0.369, 0.414)
In (0.502, 0.499, 0.037)

Summary:
- Crystal system: triclinic
- Magnetization: 0.0 μB per formula unit
- E_form: 0.36 eV/f.u.
- Calculated density: 6.22 g cm⁻³
- Symmetry: P1, No. 1

19.
## HgP2O (PBE-GGA)

Data for crystalline HgP2O at its relaxed geometry.

a b c (Å): 7.302 7.302 7.302
angles (deg): 142.64 142.64 53.87
Fractional coordinates of all 8 atoms:
Hg (0.000, 0.000, 0.000)
Hg (0.750, 0.250, 0.500)
P (0.288, 0.625, 0.163)
P (0.375, 0.538, 0.663)
P (0.462, 0.125, 0.837)
P (0.875, 0.712, 0.337)
O (0.250, 0.750, 0.500)
O (0.500, 0.500, 0.000)

Summary:
- Crystal system: tetragonal
- Magnetization: 0.0 μB per formula unit
- Calculated density: 6.49 g cm⁻³
- Symmetry: I-42d, No. 122
- ΔE_f (raw): 152 meV per atom

20.
## ZnAs2RuBr (PBE-GGA)

Data for crystalline ZnAs2RuBr at its relaxed geometry.

a b c (Å): 4.726 4.726 5.421
angles (deg): 90.00 90.00 90.00
Fractional coordinates of all 5 atoms:
Zn (0.000, 0.000, 0.000)
As (0.000, 0.500, 0.500)
As (0.500, 0.000, 0.500)
Ru (0.500, 0.500, 0.500)
Br (0.500, 0.500, 0.000)

Summary:
- Crystal system: tetragonal
- Magnetization: 0.0 μB per formula unit
- Calculated density: 5.43 g cm⁻³
- Symmetry: P4/mmm, No. 123
- ΔE_f (raw): 403 meV per atom